No. 1
! PBE CdIn3I4, optimized geometry; values from VASP
! spin magnetization: 0.0 μB per formula unit
! calculated volume: 717 Å³ per cell
! mass density: 4.47 Mg/m³
! raw formation energy: -330 meV per atom
&SYSTEM
  ibrav = 0, nat = 16, ntyp = 3
/
ATOMIC_SPECIES
I 126.90 I.upf
Cd 112.41 Cd.upf
In 114.82 In.upf
CELL_PARAMETERS angstrom
-2.5232 -5.6518 -2.7119
10.5794 -3.5027 -2.5433
0.5862 -4.2210 8.2515
ATOMIC_POSITIONS crystal
I 0.0646 0.3560 0.2692
I 0.5646 0.0845 0.5000
Cd 0.0642 0.1906 0.0000
I 0.5648 0.1963 0.0000
In 0.5642 0.3478 0.6924
I 0.5646 0.6440 0.7692
I 0.5646 0.6440 0.2308
In 0.5642 0.3478 0.3076
In 0.0642 0.6522 0.8076
In 0.0641 0.1183 0.5000
I 0.0646 0.3560 0.7308
In 0.0642 0.6522 0.1924
Cd 0.5642 0.8094 0.5000
In 0.5641 0.8817 0.0000
I 0.0648 0.8037 0.5000
I 0.0646 0.9155 0.0000



No. 2
! PBE K2FeOs, optimized geometry; values from VASP
! spin magnetization: 2.7 μB per formula unit
! calculated volume: 83 Å³ per cell
! mass density: 6.47 Mg/m³
! formation energy: 1382 meV/atom
&SYSTEM
  ibrav = 0, nat = 4, ntyp = 3
/
ATOMIC_SPECIES
Os 190.23 Os.upf
K 39.10 K.upf
Fe 55.84 Fe.upf
CELL_PARAMETERS angstrom
6.2578 0.0085 0.0000
-3.8098 4.9645 0.0000
0.0000 0.0000 2.6774
ATOMIC_POSITIONS crystal
Os 0.5000 0.0000 0.5000
K 0.5000 0.5000 0.0000
K 0.0000 0.0000 0.0000
Fe 0.0000 0.5000 0.5000



The lowest calculated volume belongs to which entry? K2FeOs



spin magnetization of number 2 (K2FeOs)? 2.7 μB per formula unit